(1)
The following is a DFT calculation (PBE) of an optimized crystal structure of SiCN.

Geometry as POSCAR:
```
SiCN
1.0
-2.5502 -3.2320 2.6730
1.0926 -2.0855 -1.4720
2.4056 -1.1395 0.7827
Si C N
1 1 1
Direct
0.6256 0.6913 0.8454
0.0166 0.7004 0.8287
0.2576 0.6798 0.8666
```

Properties
- SG: No. 8
- Total energy: -6.949 eV/atom
- Relative energy among the computed polymorphs: 0.630 eV/atom
- ΔE_f (raw): 0.708 eV per atom



(2)
The following is a DFT calculation (PBE) of an optimized crystal structure of Tb2Si4CN6.

Geometry as POSCAR:
```
Tb2Si4CN6
1.0
-4.4688 -3.2887 -2.1918
4.7672 -8.3424 2.7978
-4.8341 0.3263 9.2099
Tb Si C N
8 16 4 24
Direct
0.2616 0.0875 0.0815
0.7384 0.9125 0.9185
0.2384 0.5875 0.4185
0.7616 0.4125 0.5815
0.2646 0.9342 0.4048
0.7354 0.0658 0.5952
0.2354 0.4342 0.0952
0.7646 0.5658 0.9048
0.7566 0.2883 0.0793
0.2434 0.7117 0.9207
0.7434 0.7883 0.4207
0.2566 0.2117 0.5793
0.9821 0.2719 0.3407
0.0179 0.7281 0.6593
0.5179 0.7719 0.1593
0.4821 0.2281 0.8407
0.7453 0.0197 0.2494
0.2547 0.9803 0.7506
0.7547 0.5197 0.2506
0.2453 0.4803 0.7494
0.4766 0.2929 0.3241
0.5234 0.7071 0.6759
0.0234 0.7929 0.1759
0.9766 0.2071 0.8241
0.7302 0.2076 0.2463
0.2698 0.7924 0.7537
0.7698 0.7076 0.2537
0.2302 0.2924 0.7463
0.8378 0.4558 0.1016
0.1622 0.5442 0.8984
0.6622 0.9558 0.3984
0.3378 0.0442 0.6016
0.9365 0.4452 0.3624
0.0635 0.5548 0.6376
0.5635 0.9452 0.1376
0.4365 0.0548 0.8624
0.4820 0.4629 0.2799
0.5180 0.5371 0.7201
0.0180 0.9629 0.2201
0.9820 0.0371 0.7799
0.9976 0.2099 0.4983
0.0024 0.7901 0.5017
0.5024 0.7099 0.0017
0.4976 0.2901 0.9983
0.2281 0.2365 0.2548
0.7719 0.7635 0.7452
0.2719 0.7365 0.2452
0.7281 0.2635 0.7548
0.4724 0.2828 0.4902
0.5276 0.7173 0.5098
0.0276 0.7827 0.0098
0.9724 0.2172 0.9902
```

Properties
- SG: No. 14
- Total energy: -8.141 eV/atom
- ΔE_f (raw): -1.208 eV per atom



(3)
The following is a DFT calculation (PBE) of an optimized crystal structure of SiTe2CN.

Geometry as POSCAR:
```
SiTe2CN
1.0
-4.2727 2.0245 -2.6552
-3.2241 -3.6231 2.4256
-0.5219 2.0974 2.4391
Si Te C N
1 2 1 1
Direct
0.0000 0.0000 0.0000
0.0000 0.5000 0.0000
0.5000 0.0000 0.0000
0.5000 0.5000 0.5000
0.0000 0.0000 0.5000
```

Properties
- SG: No. 123
- Total energy: -4.406 eV/atom
- Relative energy among the computed polymorphs: 0.409 eV/atom
- ΔE_f (raw): 1.445 eV per atom



(4)
The following is a DFT calculation (PBE) of an optimized crystal structure of SiTe2CN.

Geometry as POSCAR:
```
SiTe2CN
1.0
-1.5998 3.8303 4.6502
-6.0081 -0.6590 -1.5242
-0.1879 -2.0586 1.6309
Si Te C N
1 2 1 1
Direct
0.5000 0.5000 0.5000
0.0000 0.5000 0.0000
0.5000 0.0000 0.0000
0.0000 0.0000 0.0000
0.0000 0.0000 0.5000
```

Properties
- SG: No. 123
- Total energy: -4.815 eV/atom
- Relative energy among the computed polymorphs: 0.000 eV/atom
- ΔE_f (raw): 1.036 eV per atom



(5)
The following is a DFT calculation (PBE) of an optimized crystal structure of SiTeCN2.

Geometry as POSCAR:
```
SiTeCN2
1.0
3.3770 0.0000 0.0000
0.0000 3.3770 0.0000
0.0000 0.0000 7.2857
Si Te C N
1 1 1 2
Direct
0.0000 0.0000 0.0000
0.0000 0.0000 0.5000
0.5000 0.5000 0.5000
0.0000 0.5000 0.0000
0.5000 0.0000 0.0000
```

Properties
- SG: No. 123
- Total energy: -5.626 eV/atom
- Relative energy among the computed polymorphs: 0.000 eV/atom
- ΔE_f (raw): 1.262 eV per atom



(6)
The following is a DFT calculation (PBE) of an optimized crystal structure of SiTeCN2.

Geometry as POSCAR:
```
SiTeCN2
1.0
3.7493 0.0000 0.0000
0.0000 3.7493 0.0000
0.0000 0.0000 4.4164
Si Te C N
1 1 1 2
Direct
0.5000 0.5000 0.5000
0.0000 0.0000 0.5000
0.0000 0.0000 0.0000
0.0000 0.5000 0.0000
0.5000 0.0000 0.0000
```

Properties
- SG: No. 123
- Total energy: -4.527 eV/atom
- Relative energy among the computed polymorphs: 1.099 eV/atom
- ΔE_f (raw): 2.361 eV per atom



(7)
The following is a DFT calculation (PBE) of an optimized crystal structure of Y2Si4CN6.

Geometry as POSCAR:
```
Y2Si4CN6
1.0
5.9609 0.0000 0.0019
0.0000 9.9982 0.0000
0.0473 0.0000 10.3913
C N Si Y
4 24 16 8
Direct
0.7705 0.2921 0.2527
0.7295 0.7921 0.2473
0.2295 0.7079 0.7473
0.2705 0.2079 0.7527
0.0292 0.2141 0.0094
0.4708 0.7141 0.4906
0.9708 0.7859 0.9906
0.5292 0.2859 0.5094
0.6615 0.0450 0.3991
0.8385 0.5450 0.1009
0.3385 0.9550 0.6009
0.1615 0.4550 0.8991
0.0195 0.0367 0.2223
0.4805 0.5367 0.2777
0.9805 0.9633 0.7777
0.5195 0.4633 0.7223
0.5032 0.2887 0.0009
0.9968 0.7887 0.4991
0.4968 0.7113 0.9991
0.0032 0.2113 0.5009
0.2732 0.2629 0.2451
0.2268 0.7629 0.2549
0.7268 0.7371 0.7549
0.7732 0.2371 0.7451
0.5654 0.0539 0.1371
0.9346 0.5539 0.3629
0.4346 0.9461 0.8629
0.0654 0.4461 0.6371
0.7540 0.4800 0.2498
0.7460 0.9800 0.2502
0.2460 0.5200 0.7502
0.2540 0.0200 0.7498
0.7436 0.2128 0.4204
0.7564 0.7128 0.0796
0.2564 0.7872 0.5796
0.2436 0.2872 0.9204
0.0245 0.2062 0.1761
0.4755 0.7062 0.3239
0.9755 0.7938 0.8239
0.5245 0.2938 0.6761
0.5187 0.2274 0.1588
0.9813 0.7274 0.3412
0.4813 0.7726 0.8412
0.0187 0.2726 0.6588
0.2347 0.5676 0.0944
0.2653 0.0676 0.4056
0.7653 0.4324 0.9056
0.7347 0.9324 0.5944
0.2380 0.4131 0.4181
0.2620 0.9131 0.0819
0.7620 0.5869 0.5819
0.7380 0.0869 0.9181
```

Properties
- SG: No. 14
- Total energy: -8.423 eV/atom
- ΔE_f (raw): -1.208 eV per atom



(8)
The following is a DFT calculation (PBE) of an optimized crystal structure of Sm4CN2.

Geometry as POSCAR:
```
Sm4CN2
1.0
7.3577 0.0000 0.0000
0.0000 7.3577 0.0000
0.0000 0.0000 10.4342
C Sm N
4 16 8
Direct
0.0000 0.7415 0.5000
0.2585 0.0000 0.7500
0.7415 0.0000 0.2500
0.0000 0.2585 0.0000
0.2539 0.9817 0.5051
0.7461 0.9817 0.4949
0.0183 0.2539 0.7551
0.7461 0.0183 0.0051
0.2542 0.4914 0.9906
0.5086 0.2542 0.2406
0.4914 0.7458 0.7406
0.2542 0.5086 0.5094
0.7458 0.4914 0.0094
0.7458 0.5086 0.4906
0.4914 0.2542 0.7594
0.5086 0.7458 0.2594
0.9817 0.2539 0.2449
0.2539 0.0183 0.9949
0.9817 0.7461 0.2551
0.0183 0.7461 0.7449
0.7515 0.7515 0.8750
0.2485 0.7515 0.1250
0.7515 0.2485 0.6250
0.2485 0.2485 0.3750
0.7430 0.5000 0.2500
0.5000 0.2570 0.0000
0.5000 0.7430 0.5000
0.2570 0.5000 0.7500
```

Properties
- SG: No. 91
- Total energy: -7.194 eV/atom
- ΔE_f (raw): -0.801 eV per atom



(9)
The following is a DFT calculation (PBE) of an optimized crystal structure of SmCN.

Geometry as POSCAR:
```
SmCN
1.0
-2.3940 -2.7522 -0.6267
2.8221 -2.3490 -0.4648
-0.2578 1.8975 3.5808
C Sm N
1 1 1
Direct
0.6811 0.6811 0.3623
0.2827 0.2827 0.5655
0.8861 0.8861 0.7722
```

Properties
- SG: No. 107
- Total energy: -7.948 eV/atom
- Relative energy among the computed polymorphs: 0.000 eV/atom
- ΔE_f (raw): -0.525 eV per atom



(10)
The following is a DFT calculation (PBE) of an optimized crystal structure of Sm8CN3.

Geometry as POSCAR:
```
Sm8CN3
1.0
7.2234 0.0000 0.0000
-3.6117 5.1497 -3.5612
0.0000 0.1290 7.5081
Sm C N
8 1 3
Direct
0.2612 0.5224 0.7832
0.7388 0.4776 0.2168
0.2628 0.0215 0.7798
0.7586 0.0215 0.7798
0.7587 0.5174 0.7800
0.2413 0.4826 0.2200
0.2414 0.9785 0.2202
0.7372 0.9785 0.2202
0.0000 0.0000 0.0000
0.5000 0.0000 0.0000
0.5000 0.5000 0.0000
0.0000 0.5000 0.0000
```

Properties
- SG: No. 12
- Total energy: -6.753 eV/atom
- ΔE_f (raw): -0.757 eV per atom



(11)
The following is a DFT calculation (PBE) of an optimized crystal structure of Sm8C3N.

Geometry as POSCAR:
```
Sm8C3N
1.0
7.2857 0.0000 0.0000
-3.6429 5.1948 -3.5946
0.0000 0.1568 7.6494
Sm C N
8 3 1
Direct
0.2597 0.5194 0.7795
0.7403 0.4806 0.2205
0.2592 0.0212 0.7837
0.7620 0.0212 0.7837
0.7620 0.5240 0.7838
0.2380 0.4760 0.2162
0.2380 0.9788 0.2163
0.7408 0.9788 0.2163
0.5000 0.0000 0.0000
0.5000 0.5000 0.0000
0.0000 0.5000 0.0000
0.0000 0.0000 0.0000
```

Properties
- SG: No. 12
- Total energy: -6.511 eV/atom
- ΔE_f (raw): -0.365 eV per atom



(12)
The following is a DFT calculation (PBE) of an optimized crystal structure of Sm8C2N3.

Geometry as POSCAR:
```
Sm8C2N3
1.0
-5.8348 -0.2580 -2.6305
-0.9417 -6.9049 -2.1643
-3.8748 -4.6134 4.1171
Sm C N
8 2 3
Direct
0.7853 0.6198 0.6198
0.2147 0.3802 0.3802
0.7636 0.1147 0.1147
0.2364 0.8853 0.8853
0.7627 0.6362 0.1126
0.7627 0.1126 0.6362
0.2373 0.8874 0.3638
0.2373 0.3638 0.8874
0.0066 0.2503 0.2503
0.9934 0.7497 0.7497
0.5000 0.0000 0.0000
0.0000 0.2482 0.7518
0.0000 0.7518 0.2482
```

Properties
- SG: No. 12
- Total energy: -6.960 eV/atom
- ΔE_f (raw): -0.716 eV per atom



(13)
The following is a DFT calculation (PBE) of an optimized crystal structure of Sm6CN2.

Geometry as POSCAR:
```
Sm6CN2
1.0
-1.7291 -3.1703 -0.3013
3.4902 -1.2815 -6.5448
5.6292 -1.5674 5.9781
Sm C N
6 1 2
Direct
0.3390 0.8971 0.6781
0.0076 0.2362 0.0151
0.6742 0.5654 0.3484
0.9924 0.7638 0.9849
0.6610 0.1029 0.3219
0.3258 0.4346 0.6516
0.5000 0.0000 0.0000
0.8318 0.6642 0.6635
0.1682 0.3358 0.3365
```

Properties
- SG: No. 12
- Total energy: -6.710 eV/atom
- ΔE_f (raw): -0.689 eV per atom



(14)
The following is a DFT calculation (PBE) of an optimized crystal structure of Sm4C2N.

Geometry as POSCAR:
```
Sm4C2N
1.0
-3.0938 -1.8104 0.7543
0.1259 -3.1296 1.8995
-2.1638 4.8585 11.6802
C Sm N
2 4 1
Direct
0.4156 0.4156 0.7533
0.5844 0.5844 0.2467
0.1136 0.1136 0.6592
0.2957 0.2957 0.1128
0.7043 0.7043 0.8872
0.8864 0.8864 0.3408
0.0000 0.0000 0.0000
```

Properties
- SG: No. 166
- Total energy: -7.051 eV/atom
- ΔE_f (raw): -0.529 eV per atom



(15)
The following is a DFT calculation (PBE) of an optimized crystal structure of SmC6N8.

Geometry as POSCAR:
```
SmC6N8
1.0
5.4198 -0.0399 1.3269
1.0319 5.3208 1.3269
-0.0488 -0.0399 5.5797
Sm C N
1 6 8
Direct
0.0875 0.0875 0.0875
0.5583 0.1975 0.2070
0.2070 0.5583 0.1975
0.1975 0.2070 0.5583
0.4227 0.7720 0.7779
0.7779 0.4227 0.7720
0.7720 0.7779 0.4227
0.3151 0.3151 0.3151
0.6505 0.6505 0.6505
0.0297 0.3702 0.6907
0.6907 0.0297 0.3702
0.3702 0.6907 0.0297
0.9726 0.6833 0.2652
0.2652 0.9726 0.6833
0.6833 0.2652 0.9726
```

Properties
- SG: No. 146
- Total energy: -8.133 eV/atom
- ΔE_f (raw): 0.311 eV per atom



(16)
The following is a DFT calculation (PBE) of an optimized crystal structure of SmCN.

Geometry as POSCAR:
```
SmCN
1.0
-1.1509 3.3203 -0.4511
-6.5000 -2.2656 -0.0920
-0.3313 0.7055 6.0377
C Sm N
4 4 4
Direct
0.7500 0.9725 0.9445
0.2500 0.5275 0.4445
0.2500 0.0275 0.0555
0.7500 0.4725 0.5555
0.7500 0.3092 0.1581
0.2500 0.1908 0.6581
0.2500 0.6908 0.8419
0.7500 0.8092 0.3419
0.7500 0.4352 0.7801
0.2500 0.0648 0.2801
0.2500 0.5648 0.2199
0.7500 0.9352 0.7199
```

Properties
- SG: No. 62
- Total energy: -7.898 eV/atom
- Relative energy among the computed polymorphs: 0.050 eV/atom
- ΔE_f (raw): -0.475 eV per atom



(17)
The following is a DFT calculation (PBE) of an optimized crystal structure of SmCN2.

Geometry as POSCAR:
```
SmCN2
1.0
3.6976 0.0000 0.0000
0.0000 5.1394 0.0000
0.0000 0.0000 11.9883
Sm C N
4 4 8
Direct
0.2500 0.5639 0.6398
0.2500 0.9361 0.1398
0.7500 0.4361 0.3602
0.7500 0.0639 0.8602
0.2500 0.8862 0.3711
0.2500 0.6138 0.8711
0.7500 0.1138 0.6289
0.7500 0.3862 0.1289
0.2500 0.1237 0.3400
0.2500 0.3763 0.8400
0.7500 0.8763 0.6600
0.7500 0.6237 0.1600
0.2500 0.7095 0.4452
0.2500 0.7905 0.9452
0.7500 0.2905 0.5548
0.7500 0.2095 0.0548
```

Properties
- SG: No. 62
- Total energy: -8.282 eV/atom
- ΔE_f (raw): -0.633 eV per atom



(18)
The following is a DFT calculation (PBE) of an optimized crystal structure of Sm2C3N6.

Geometry as POSCAR:
```
Sm2C3N6
1.0
-2.3957 2.7916 -6.6780
0.4739 0.2810 -7.6043
-3.6105 -3.7785 -0.9441
Sm C N
2 3 6
Direct
0.8654 0.8654 0.0710
0.1346 0.1346 0.9290
0.3282 0.3282 0.5938
0.6718 0.6718 0.4062
0.0000 0.0000 0.5000
0.9894 0.9894 0.7336
0.6896 0.6896 0.1705
0.6570 0.6570 0.6368
0.0106 0.0106 0.2664
0.3104 0.3104 0.8295
0.3430 0.3430 0.3632
```

Properties
- SG: No. 12
- Total energy: -8.680 eV/atom
- ΔE_f (raw): -0.766 eV per atom